ScRe2Mo | PBE | optimized geometry

a b c (Å): 3.1590 4.4976 9.0662
angles (deg): 90.00 90.00 90.00
Space group Imm2 (No. 44)
Unique sites:
Sc 0.0000 0.0000 0.0000 x2
Re 0.0000 0.0000 0.5014 x2
Re 0.0000 0.5000 0.2407 x2
Mo 0.0000 0.5000 0.7599 x2

Output
* Fermi-level density of states: 3.6 states/eV/cell
* formation enthalpy at 0 K: -1.69 kcal/mol of atoms
* energy above the most stable polymorph in this dataset: 0 meV per atom



ScReMo2 | PBE | optimized geometry

a b c (Å): 4.5341 4.5341 3.1596
angles (deg): 90.00 90.00 90.00
Space group P4/mmm (No. 123)
Unique sites:
Sc 0.0000 0.0000 0.0000 x1
Re 0.5000 0.5000 0.0000 x1
Mo 0.0000 0.5000 0.5000 x2

Output
* Fermi-level density of states: 4.1 states/eV/cell
* formation enthalpy at 0 K: 1.62 kcal/mol of atoms
* energy above the most stable polymorph in this dataset: 124 meV per atom



ScReMo2 | PBE | optimized geometry

a b c (Å): 3.1884 4.5475 9.0385
angles (deg): 90.00 90.00 90.00
Space group Imm2 (No. 44)
Unique sites:
Sc 0.0000 0.0000 0.0000 x2
Re 0.0000 0.5000 0.2388 x2
Mo 0.0000 0.0000 0.5014 x2
Mo 0.0000 0.5000 0.7624 x2

Output
* Fermi-level density of states: 4.5 states/eV/cell
* formation enthalpy at 0 K: -0.71 kcal/mol of atoms
* energy above the most stable polymorph in this dataset: 23 meV per atom



ScReMo2 | PBE | optimized geometry

a b c (Å): 2.9217 2.9217 27.2424
angles (deg): 90.00 90.00 120.00
Space group R3m (No. 160, hexagonal axes)
Unique sites:
Sc 0.0000 0.0000 0.0000 x3
Re 0.0000 0.0000 0.2475 x3
Mo 0.0000 0.0000 0.5043 x3
Mo 0.0000 0.0000 0.7551 x3

Output
* Fermi-level density of states: 11.7 states/eV/cell
* formation enthalpy at 0 K: 6.28 kcal/mol of atoms
* energy above the most stable polymorph in this dataset: 326 meV per atom



ScRe3Mo | PBE | optimized geometry

a b c (Å): 4.7026 4.7026 4.7026
angles (deg): 90.00 90.00 90.00
Space group Pm-3m (No. 221)
Unique sites:
Sc 0.0000 0.0000 0.0000 x1
Re 0.0000 0.5000 0.5000 x3
Mo 0.5000 0.5000 0.5000 x1

Output
* Fermi-level density of states: 5.8 states/eV/cell
* formation enthalpy at 0 K: 36.61 kcal/mol of atoms
* energy above the most stable polymorph in this dataset: 0 meV per atom



ScRe2Mo2 | PBE | optimized geometry

a b c (Å): 7.7045 7.7045 2.8832
angles (deg): 90.00 90.00 90.00
Space group P4/mbm (No. 127)
Unique sites:
Sc 0.0000 0.0000 0.0000 x2
Re 0.1486 0.3514 0.5000 x4
Mo 0.1467 0.6467 0.0000 x4

Output
* Fermi-level density of states: 10.6 states/eV/cell
* formation enthalpy at 0 K: 4.32 kcal/mol of atoms
* energy above the most stable polymorph in this dataset: 0 meV per atom



ScRe3Mo | PBE | optimized geometry

a b c (Å): 4.5084 4.5084 4.5084
angles (deg): 90.00 90.00 90.00
Space group Pm-3m (No. 221)
Unique sites:
Sc 0.0000 0.0000 0.0000 x1
Re 0.0000 0.0000 0.5000 x3
Mo 0.5000 0.5000 0.5000 x1

Output
* Fermi-level density of states: 4.6 states/eV/cell
* formation enthalpy at 0 K: 54.84 kcal/mol of atoms
* energy above the most stable polymorph in this dataset: 791 meV per atom



ScRe2Mo2 | PBE | optimized geometry

a b c (Å): 7.6726 7.6726 2.9152
angles (deg): 90.00 90.00 90.00
Space group P4/mbm (No. 127)
Unique sites:
Sc 0.0000 0.0000 0.0000 x2
Re 0.1433 0.3567 0.0000 x4
Mo 0.1518 0.6518 0.5000 x4

Output
* Fermi-level density of states: 10.7 states/eV/cell
* formation enthalpy at 0 K: 4.33 kcal/mol of atoms
* energy above the most stable polymorph in this dataset: 1 meV per atom



ScRe2Mo | PBE | optimized geometry

a b c (Å): 3.1509 3.1509 6.5788
angles (deg): 90.00 90.00 90.00
Space group P4mm (No. 99)
Unique sites:
Sc 0.0000 0.0000 0.0000 x1
Re 0.0000 0.0000 0.5023 x1
Re 0.5000 0.5000 0.7316 x1
Mo 0.5000 0.5000 0.2690 x1

Output
* Fermi-level density of states: 2.7 states/eV/cell
* formation enthalpy at 0 K: 0.49 kcal/mol of atoms
* energy above the most stable polymorph in this dataset: 95 meV per atom



ScRe2Mo2 | PBE | optimized geometry

a b c (Å): 4.3088 4.3088 10.3704
angles (deg): 90.00 90.00 90.00
Space group I4/mmm (No. 139)
Unique sites:
Sc 0.0000 0.0000 0.0000 x2
Re 0.0000 0.0000 0.3795 x4
Mo 0.0000 0.5000 0.2500 x4

Output
* Fermi-level density of states: 8.8 states/eV/cell
* formation enthalpy at 0 K: 4.56 kcal/mol of atoms
* energy above the most stable polymorph in this dataset: 11 meV per atom



Sc2ReMo2 | PBE | optimized geometry

a b c (Å): 6.4475 6.4475 4.6424
angles (deg): 90.00 90.00 90.00
Space group P4/mbm (No. 127)
Unique sites:
Sc 0.1740 0.3260 0.0000 x4
Re 0.0000 0.0000 0.5000 x2
Mo 0.1369 0.6369 0.5000 x4

Output
* Fermi-level density of states: 17.5 states/eV/cell
* formation enthalpy at 0 K: 3.68 kcal/mol of atoms



ScRe2Mo | PBE | optimized geometry

a b c (Å): 3.1594 4.5325 9.1032
angles (deg): 90.00 90.00 90.00
Space group Cmm2 (No. 35)
Unique sites:
Sc 0.0000 0.0000 0.0000 x2
Re 0.0000 0.0000 0.5085 x2
Re 0.0000 0.5000 0.7440 x2
Mo 0.0000 0.5000 0.2693 x2

Output
* Fermi-level density of states: 7.9 states/eV/cell
* formation enthalpy at 0 K: 3.42 kcal/mol of atoms
* energy above the most stable polymorph in this dataset: 222 meV per atom



Which of these has the lowest formation enthalpy at 0 K?
number 1



Among the records above, which one has the lowest formation enthalpy at 0 K?
number 1



Please write out number 9 again, unchanged.
ScRe2Mo | PBE | optimized geometry

a b c (Å): 3.1509 3.1509 6.5788
angles (deg): 90.00 90.00 90.00
Space group P4mm (No. 99)
Unique sites:
Sc 0.0000 0.0000 0.0000 x1
Re 0.0000 0.0000 0.5023 x1
Re 0.5000 0.5000 0.7316 x1
Mo 0.5000 0.5000 0.2690 x1

Output
* Fermi-level density of states: 2.7 states/eV/cell
* formation enthalpy at 0 K: 0.49 kcal/mol of atoms
* energy above the most stable polymorph in this dataset: 95 meV per atom



Please write out number 9 again, unchanged.
ScRe2Mo | PBE | optimized geometry

a b c (Å): 3.1509 3.1509 6.5788
angles (deg): 90.00 90.00 90.00
Space group P4mm (No. 99)
Unique sites:
Sc 0.0000 0.0000 0.0000 x1
Re 0.0000 0.0000 0.5023 x1
Re 0.5000 0.5000 0.7316 x1
Mo 0.5000 0.5000 0.2690 x1

Output
* Fermi-level density of states: 2.7 states/eV/cell
* formation enthalpy at 0 K: 0.49 kcal/mol of atoms
* energy above the most stable polymorph in this dataset: 95 meV per atom